VASP calculation (PBE-GGA) on TmU2Fe3 after structural relaxation.

Results
calculated formation energy	-0.06	eV per atom
space-group type	Cmcm (63)
spin magnetization	1.99	μB/cell

Unit cell a=5.6004 b=5.6004 c=7.9948 alpha=90.00 beta=90.00 gamma=59.98
Closest atoms and distances in Å follow each position.
Positions (direct):
Tm1 0.0005 0.9995 0.2500  6 Fe 2.80
Tm2 0.9995 0.0005 0.7500  6 Fe 2.80
U1 0.3334 0.3334 0.0000  6 Fe 2.57
U2 0.3334 0.3334 0.5000  6 Fe 2.57
U3 0.6666 0.6666 0.0000  6 Fe 2.57
U4 0.6666 0.6666 0.5000  6 Fe 2.57
Fe1 0.0007 0.4994 0.2500  4 U 2.57, 4 Fe 2.80, 2 Tm 2.80
Fe2 0.4994 0.0007 0.7500  4 U 2.57, 4 Fe 2.80, 2 Tm 2.80
Fe3 0.5005 0.4995 0.2500  4 U 2.57, 2 Tm 2.80, 4 Fe 2.80
Fe4 0.4995 0.5005 0.7500  4 U 2.57, 2 Tm 2.80, 4 Fe 2.80
Fe5 0.5006 0.9993 0.2500  4 U 2.57, 4 Fe 2.80, 2 Tm 2.80
Fe6 0.9993 0.5006 0.7500  4 U 2.57, 4 Fe 2.80, 2 Tm 2.80

---

VASP calculation (PBE-GGA) on Mn2TlIr2 after structural relaxation.

Results
calculated formation energy	0.24	eV per atom
space-group type	P4/mbm (127)
distance to the lowest polymorph of the same formula	80	meV/atom
spin magnetization	12.65	μB/cell

Unit cell a=7.5207 b=7.5207 c=2.8599 alpha=90.00 beta=90.00 gamma=90.00
Closest atoms and distances in Å follow each position.
Positions (direct):
Mn1 0.1520 0.3480 0.0000  6 Ir 2.61-2.66, 2 Tl 2.86, 2 Mn 2.86
Mn2 0.3480 0.8480 0.0000  6 Ir 2.61-2.66, 2 Tl 2.86, 2 Mn 2.86
Mn3 0.6520 0.1520 0.0000  6 Ir 2.61-2.66, 2 Tl 2.86, 2 Mn 2.86
Mn4 0.8480 0.6520 0.0000  6 Ir 2.61-2.66, 2 Tl 2.86, 2 Mn 2.86
Tl1 0.0000 0.0000 0.0000  4 Mn 2.86, 2 Tl 2.86
Tl2 0.5000 0.5000 0.0000  4 Mn 2.86, 2 Tl 2.86
Ir1 0.1377 0.6377 0.5000  6 Mn 2.61-2.66, 2 Ir 2.86
Ir2 0.3623 0.1377 0.5000  6 Mn 2.61-2.66, 2 Ir 2.86
Ir3 0.6377 0.8623 0.5000  6 Mn 2.61-2.66, 2 Ir 2.86
Ir4 0.8623 0.3623 0.5000  6 Mn 2.61-2.66, 2 Ir 2.86

---

VASP calculation (PBE-GGA) on Ti6CdC after structural relaxation.

Results
calculated formation energy	-0.17	eV per atom
space-group type	R-3 (148)
spin magnetization	0.00	μB/cell

Unit cell a=5.1749 b=5.1749 c=5.1749 alpha=99.97 beta=99.97 gamma=99.97
Closest atoms and distances in Å follow each position.
Positions (direct):
Ti1 0.0773 0.7745 0.6590  1 C 2.08
Ti2 0.2255 0.3410 0.9227  1 C 2.08
Ti3 0.3410 0.9227 0.2255  1 C 2.08
Ti4 0.6590 0.0773 0.7745  1 C 2.08
Ti5 0.7745 0.6590 0.0773  1 C 2.08
Ti6 0.9227 0.2255 0.3410  1 C 2.08
Cd1 0.5000 0.5000 0.5000  12 Ti 2.96-2.98
C1 0.0000 0.0000 0.0000  6 Ti 2.08

---

VASP calculation (PBE-GGA) on ZnAsAu2 after structural relaxation.

Results
calculated formation energy	0.02	eV per atom
space-group type	I-42d (122)
distance to the lowest polymorph of the same formula	10	meV/atom
spin magnetization	0.00	μB/cell

Unit cell a=9.2040 b=9.2040 c=9.2040 alpha=153.59 beta=153.59 gamma=37.70
Closest atoms and distances in Å follow each position.
Positions (direct):
Zn1 0.0000 0.0000 0.0000  4 Au 2.64
Zn2 0.7500 0.2500 0.5000  4 Au 2.64
As1 0.2500 0.7500 0.5000  4 Au 2.64
As2 0.5000 0.5000 0.0000  4 Au 2.64
Au1 0.1256 0.6250 0.0006  2 As 2.64, 2 Zn 2.64
Au2 0.3750 0.3756 0.5006  2 As 2.64, 2 Zn 2.64
Au3 0.6244 0.1250 0.9994  2 As 2.64, 2 Zn 2.64
Au4 0.8750 0.8744 0.4994  2 As 2.64, 2 Zn 2.64

---

- Which of these has the highest calculated formation energy?
  Mn2TlIr2